Material: Ca3AgW
Method: DFT, PBE-GGA
State: relaxed

## Properties
Energy of formation (kcal/mol of atoms): 23.3
VASP energy (eV/atom): -3.350
Energy relative to the lowest polymorph listed for this composition (eV per atom): 0.000

Cell and atoms, written as CIF:
```
data_Ca3AgW
_chemical_formula_sum 'Ca3 Ag1 W1'
_cell_length_a 5.500
_cell_length_b 5.500
_cell_length_c 5.500
_cell_angle_alpha 90.00
_cell_angle_beta 90.00
_cell_angle_gamma 90.00
_space_group_name_H-M_alt 'P m -3 m'
_space_group_IT_number 221
_space_group_name_Hall '-P 4 2 3'
loop_
_atom_site_label
_atom_site_type_symbol
_atom_site_fract_x
_atom_site_fract_y
_atom_site_fract_z
Ca1 Ca 0.000 0.000 0.500
Ag1 Ag 0.500 0.500 0.500
W1 W 0.000 0.000 0.000
```

***

Material: La2SmSn3Pt4
Method: DFT, PBE-GGA
State: relaxed

## Properties
Energy of formation (kcal/mol of atoms): -21.6
VASP energy (eV/atom): -6.012

Cell and atoms, written as CIF:
```
data_La2SmSn3Pt4
_chemical_formula_sum 'La2 Sm1 Sn3 Pt4'
_cell_length_a 4.659
_cell_length_b 4.659
_cell_length_c 11.167
_cell_angle_alpha 90.00
_cell_angle_beta 90.00
_cell_angle_gamma 90.00
_space_group_name_H-M_alt 'P -4 m 2'
_space_group_IT_number 115
loop_
_space_group_symop_operation_xyz
'x,y,z'
'y,-x,-z'
'-x,-y,z'
'-y,x,-z'
'-x,y,z'
'-y,-x,-z'
'x,-y,z'
'y,x,-z'
loop_
_atom_site_label
_atom_site_type_symbol
_atom_site_fract_x
_atom_site_fract_y
_atom_site_fract_z
La1 La 0.000 0.500 0.220
Sm1 Sm 0.000 0.000 0.500
Sn1 Sn 0.000 0.500 0.878
Sn2 Sn 0.500 0.500 0.500
Pt1 Pt 0.000 0.000 0.000
Pt2 Pt 0.000 0.500 0.645
Pt3 Pt 0.500 0.500 0.000
```